{
  "formula": "HgSb2IF",
  "functional": "PBEsol",
  "state": "relaxed",
  "lattice": [[4.7338, 0.0000, 0.0000], [0.0000, 4.7338, 0.0000], [0.0000, 0.0000, 5.7333]],
  "species": ["Hg", "Sb", "Sb", "I", "F"],
  "frac_coords": [[0.0000, 0.0000, 0.0000], [0.0000, 0.5000, 0.5000], [0.5000, 0.0000, 0.5000], [0.5000, 0.5000, 0.0000], [0.5000, 0.5000, 0.5000]],
  "space_group": "P4/mmm, No. 123",
  "dos_at_fermi_per_ev_atom": 0.7765,
  "formation_energy_uncorrected_ev_per_atom": -0.055
}

{
  "formula": "FeB18H32C8S2",
  "functional": "PBEsol",
  "state": "relaxed",
  "lattice": [[10.4498, 0.0000, 0.0000], [0.0000, 13.1873, 0.0000], [0.0000, 0.0000, 8.1067]],
  "species": ["Fe", "Fe", "B", "B", "B", "B", "B", "B", "B", "B", "B", "B", "B", "B", "B", "B", "B", "B", "B", "B", "B", "B", "B", "B", "B", "B", "B", "B", "B", "B", "B", "B", "B", "B", "B", "B", "B", "B", "H", "H", "H", "H", "H", "H", "H", "H", "H", "H", "H", "H", "H", "H", "H", "H", "H", "H", "H", "H", "H", "H", "H", "H", "H", "H", "H", "H", "H", "H", "H", "H", "H", "H", "H", "H", "H", "H", "H", "H", "H", "H", "H", "H", "H", "H", "H", "H", "H", "H", "H", "H", "H", "H", "H", "H", "H", "H", "H", "H", "H", "H", "H", "H", "C", "C", "C", "C", "C", "C", "C", "C", "C", "C", "C", "C", "C", "C", "C", "C", "S", "S", "S", "S"],
  "frac_coords": [[0.0000, 0.0000, 0.1508], [0.5000, 0.5000, 0.8492], [0.0727, 0.8724, 0.0348], [0.0809, 0.8687, 0.2520], [0.1454, 0.9849, 0.3225], [0.1612, 0.3789, 0.8675], [0.1940, 0.4905, 0.7534], [0.1979, 0.4925, 0.9698], [0.1989, 0.8035, 0.1340], [0.2336, 0.8788, 0.9611], [0.2436, 0.8730, 0.3124], [0.2564, 0.3730, 0.6876], [0.2664, 0.3788, 0.0389], [0.3011, 0.3035, 0.8660], [0.3021, 0.9925, 0.0302], [0.3060, 0.9905, 0.2466], [0.3388, 0.8789, 0.1325], [0.3546, 0.4849, 0.6775], [0.4191, 0.3687, 0.7480], [0.4273, 0.3724, 0.9652], [0.5727, 0.6276, 0.9652], [0.5809, 0.6313, 0.7480], [0.6454, 0.5151, 0.6775], [0.6612, 0.1211, 0.1325], [0.6940, 0.0095, 0.2466], [0.6979, 0.0075, 0.0302], [0.6989, 0.6965, 0.8660], [0.7336, 0.6212, 0.0389], [0.7436, 0.6270, 0.6876], [0.7564, 0.1270, 0.3124], [0.7664, 0.1212, 0.9611], [0.8011, 0.1965, 0.1340], [0.8021, 0.5075, 0.9698], [0.8060, 0.5095, 0.7534], [0.8388, 0.6211, 0.8675], [0.8546, 0.0151, 0.3225], [0.9191, 0.1313, 0.2520], [0.9273, 0.1276, 0.0348], [0.0011, 0.1702, 0.9442], [0.0083, 0.6329, 0.2391], [0.0116, 0.1064, 0.6119], [0.0268, 0.3866, 0.4550], [0.0416, 0.2365, 0.6711], [0.0549, 0.3447, 0.8768], [0.1165, 0.5419, 0.6837], [0.1173, 0.8027, 0.6053], [0.1207, 0.0277, 0.8737], [0.1307, 0.6572, 0.3916], [0.1317, 0.5460, 0.0523], [0.1345, 0.0266, 0.4540], [0.1894, 0.1302, 0.1351], [0.2044, 0.7126, 0.1260], [0.2194, 0.3327, 0.5628], [0.2414, 0.3500, 0.1756], [0.2586, 0.8500, 0.8244], [0.2806, 0.8327, 0.4372], [0.2956, 0.2126, 0.8740], [0.3106, 0.6302, 0.8649], [0.3655, 0.5266, 0.5460], [0.3683, 0.0460, 0.9477], [0.3693, 0.1572, 0.6084], [0.3793, 0.5277, 0.1263], [0.3827, 0.3027, 0.3947], [0.3835, 0.0419, 0.3163], [0.4451, 0.8447, 0.1232], [0.4584, 0.7365, 0.3289], [0.4732, 0.8866, 0.5450], [0.4884, 0.6064, 0.3881], [0.4917, 0.1329, 0.7609], [0.4989, 0.6702, 0.0558], [0.5011, 0.3298, 0.0558], [0.5083, 0.8671, 0.7609], [0.5116, 0.3936, 0.3881], [0.5268, 0.1134, 0.5450], [0.5416, 0.2635, 0.3289], [0.5549, 0.1553, 0.1232], [0.6165, 0.9581, 0.3163], [0.6173, 0.6973, 0.3947], [0.6207, 0.4723, 0.1263], [0.6307, 0.8428, 0.6084], [0.6317, 0.9540, 0.9477], [0.6345, 0.4734, 0.5460], [0.6894, 0.3698, 0.8649], [0.7044, 0.7874, 0.8740], [0.7194, 0.1673, 0.4372], [0.7414, 0.1500, 0.8244], [0.7586, 0.6500, 0.1756], [0.7806, 0.6673, 0.5628], [0.7956, 0.2874, 0.1260], [0.8106, 0.8698, 0.1351], [0.8655, 0.9734, 0.4540], [0.8683, 0.4540, 0.0523], [0.8693, 0.3428, 0.3916], [0.8793, 0.9723, 0.8737], [0.8827, 0.1973, 0.6053], [0.8835, 0.4581, 0.6837], [0.9451, 0.6553, 0.8768], [0.9584, 0.7635, 0.6711], [0.9732, 0.6134, 0.4550], [0.9884, 0.8936, 0.6119], [0.9917, 0.3671, 0.2391], [0.9989, 0.8298, 0.9442], [0.0137, 0.8138, 0.5894], [0.0274, 0.6592, 0.3654], [0.1422, 0.9844, 0.9855], [0.1830, 0.0476, 0.1463], [0.3170, 0.5476, 0.8537], [0.3578, 0.4844, 0.0145], [0.4726, 0.1592, 0.6346], [0.4863, 0.3138, 0.4106], [0.5137, 0.6862, 0.4106], [0.5274, 0.8408, 0.6346], [0.6422, 0.5156, 0.0145], [0.6830, 0.4524, 0.8537], [0.8170, 0.9524, 0.1463], [0.8578, 0.0156, 0.9855], [0.9726, 0.3408, 0.3654], [0.9863, 0.1862, 0.5894], [0.0313, 0.2137, 0.3814], [0.4687, 0.7137, 0.6186], [0.5313, 0.2863, 0.6186], [0.9687, 0.7863, 0.3814]],
  "energy_ev_per_cell": -669.31,
  "space_group": "P2_12_12, No. 18",
  "dos_at_fermi_per_ev_atom": 0.0000
}

{
  "formula": "NaReSb2Te",
  "functional": "PBEsol",
  "state": "relaxed",
  "lattice": [[5.0337, 0.0000, 0.0000], [0.0000, 5.0337, 0.0000], [0.0000, 0.0000, 5.9649]],
  "species": ["Na", "Re", "Sb", "Sb", "Te"],
  "frac_coords": [[0.0000, 0.0000, 0.0000], [0.5000, 0.5000, 0.5000], [0.0000, 0.5000, 0.5000], [0.5000, 0.0000, 0.5000], [0.5000, 0.5000, 0.0000]],
  "space_group": "P4/mmm, No. 123",
  "dos_at_fermi_per_ev_atom": 1.0632,
  "formation_energy_uncorrected_ev_per_atom": 0.441
}

{
  "formula": "BaSr2",
  "functional": "PBEsol",
  "state": "relaxed",
  "lattice": [[2.3804, -10.0521, 0.0000], [2.3804, 10.0521, 0.0000], [0.0000, 0.0000, 6.6914]],
  "species": ["Ba", "Ba", "Sr", "Sr", "Sr", "Sr"],
  "frac_coords": [[0.0835, 0.9165, 0.7500], [0.9165, 0.0835, 0.2500], [0.2483, 0.7517, 0.2500], [0.4155, 0.5845, 0.7500], [0.5845, 0.4155, 0.2500], [0.7517, 0.2483, 0.7500]],
  "delta_e_f_ev_per_atom": 0.003,
  "de_polymorph_mev_per_atom": 0,
  "space_group": "Cmcm, No. 63",
  "dos_at_fermi_per_ev_atom": 1.1220
}

{
  "formula": "NaMoPb2",
  "functional": "PBEsol",
  "state": "relaxed",
  "lattice": [[0.0000, 3.5297, 3.5297], [3.5297, 0.0000, 3.5297], [3.5297, 3.5297, 0.0000]],
  "species": ["Na", "Mo", "Pb", "Pb"],
  "frac_coords": [[0.0000, 0.0000, 0.0000], [0.5000, 0.5000, 0.5000], [0.2500, 0.2500, 0.2500], [0.7500, 0.7500, 0.7500]],
  "delta_e_f_ev_per_atom": 0.595,
  "space_group": "Fm-3m, No. 225",
  "dos_at_fermi_per_ev_atom": 0.8544
}

{
  "formula": "KMn2AsPt",
  "functional": "PBEsol",
  "state": "relaxed",
  "lattice": [[4.7436, 0.0000, 0.0000], [0.0000, 4.7436, 0.0000], [0.0000, 0.0000, 4.8370]],
  "species": ["K", "Mn", "Mn", "As", "Pt"],
  "frac_coords": [[0.0000, 0.0000, 0.0000], [0.0000, 0.5000, 0.5000], [0.5000, 0.0000, 0.5000], [0.5000, 0.5000, 0.5000], [0.5000, 0.5000, 0.0000]],
  "delta_e_f_ev_per_atom": 0.538,
  "space_group": "P4/mmm, No. 123",
  "dos_at_fermi_per_ev_atom": 0.8099
}

Repeat the fourth record exactly.
{
  "formula": "BaSr2",
  "functional": "PBEsol",
  "state": "relaxed",
  "lattice": [[2.3804, -10.0521, 0.0000], [2.3804, 10.0521, 0.0000], [0.0000, 0.0000, 6.6914]],
  "species": ["Ba", "Ba", "Sr", "Sr", "Sr", "Sr"],
  "frac_coords": [[0.0835, 0.9165, 0.7500], [0.9165, 0.0835, 0.2500], [0.2483, 0.7517, 0.2500], [0.4155, 0.5845, 0.7500], [0.5845, 0.4155, 0.2500], [0.7517, 0.2483, 0.7500]],
  "delta_e_f_ev_per_atom": 0.003,
  "de_polymorph_mev_per_atom": 0,
  "space_group": "Cmcm, No. 63",
  "dos_at_fermi_per_ev_atom": 1.1220
}

Please write out number 1 again, unchanged.
{
  "formula": "HgSb2IF",
  "functional": "PBEsol",
  "state": "relaxed",
  "lattice": [[4.7338, 0.0000, 0.0000], [0.0000, 4.7338, 0.0000], [0.0000, 0.0000, 5.7333]],
  "species": ["Hg", "Sb", "Sb", "I", "F"],
  "frac_coords": [[0.0000, 0.0000, 0.0000], [0.0000, 0.5000, 0.5000], [0.5000, 0.0000, 0.5000], [0.5000, 0.5000, 0.0000], [0.5000, 0.5000, 0.5000]],
  "space_group": "P4/mmm, No. 123",
  "dos_at_fermi_per_ev_atom": 0.7765,
  "formation_energy_uncorrected_ev_per_atom": -0.055
}